Material: Ba2CaCuO
Method: DFT, PBE
State: relaxed

Structure (POSCAR):
```
Ba2CaCuO
1.0
5.677 0.000 0.000
0.000 5.677 0.000
0.000 0.000 4.579
Ba Ca O Cu
2 1 1 1
direct
0.500 0.000 0.000
0.000 0.500 0.000
0.000 0.000 0.500
0.000 0.000 0.000
0.500 0.500 0.500
```

Computed properties:
SG	P4/mmm
electronic total energy	-3.923	eV per atom
formation energy from raw total energies	-0.94	eV per atom
DOS at the Fermi energy	4.426	states/eV/f.u.
total magnetic moment	0.00	μB/cell